1.
First-principles (GGA-PBE) data for SbPt2O6 after structural relaxation, as listed in Alexandria via LeMat-Bulk.

Unit cell a=4.758 b=5.561 c=5.561 alpha=120.00 beta=90.00 gamma=90.00
Positions (direct):
Sb1 0.500 0.000 0.000
Pt1 0.500 0.667 0.333
Pt2 0.500 0.333 0.667
O1 0.299 0.666 0.666
O2 0.299 0.000 0.334
O3 0.299 0.334 0.000
O4 0.701 0.334 0.334
O5 0.701 0.000 0.666
O6 0.701 0.666 0.000

The space group is P-31m (162). The distance to the lowest polymorph of the same formula comes out at 17 meV per atom.

2.
First-principles (GGA-PBE) data for MgBiBr6 after structural relaxation, as listed in Alexandria via LeMat-Bulk.

Unit cell a=6.937 b=6.935 c=7.345 alpha=61.78 beta=61.79 gamma=59.96
Positions (direct):
Mg1 0.500 0.500 0.500
Bi1 0.000 0.000 0.000
Br1 0.091 0.429 0.739
Br2 0.742 0.091 0.739
Br3 0.571 0.258 0.261
Br4 0.258 0.909 0.261
Br5 0.909 0.571 0.261
Br6 0.429 0.742 0.739

For the total energy, the calculation gives -21.619 eV per cell. The space group is R-3 (148).

3.
First-principles (GGA-PBE) data for RbIn2SnBr6 after structural relaxation, as listed in Alexandria via LeMat-Bulk.

Unit cell a=8.181 b=8.175 c=8.510 alpha=89.99 beta=118.73 gamma=120.03
Positions (direct):
Rb1 0.969 0.484 0.439
In1 0.633 0.816 0.435
In2 0.383 0.191 0.560
Sn1 0.000 0.000 0.986
Br1 0.541 0.894 0.723
Br2 0.441 0.030 0.238
Br3 0.842 0.811 0.237
Br4 0.221 0.409 0.238
Br5 0.843 0.645 0.723
Br6 0.092 0.197 0.723

For the total energy, the calculation gives -29.392 eV per cell. The space group is P1 (1).

4.
First-principles (GGA-PBE) data for HfTa3Ni2N after structural relaxation, as listed in Alexandria via LeMat-Bulk.

Unit cell a=4.245 b=4.117 c=6.933 alpha=107.27 beta=107.83 gamma=90.00
Positions (direct):
Hf1 0.500 0.000 0.000
Ta1 0.000 0.500 0.000
Ta2 0.180 0.180 0.361
Ta3 0.820 0.820 0.639
Ni1 0.629 0.629 0.257
Ni2 0.371 0.371 0.743
N1 0.000 0.000 0.000

For the total energy, the calculation gives -66.949 eV per cell. The space group is Immm (71).

5.
First-principles (GGA-PBE) data for ZnAgNF2 after structural relaxation, as listed in Alexandria via LeMat-Bulk.

Unit cell a=4.176 b=4.176 c=3.938 alpha=90.00 beta=90.00 gamma=90.00
Positions (direct):
Zn1 0.000 0.000 0.000
N1 0.000 0.000 0.500
Ag1 0.500 0.500 0.500
F1 0.000 0.500 0.000
F2 0.500 0.000 0.000

The space group is P4/mmm (123). The distance to the lowest polymorph of the same formula comes out at 0 meV per atom.

6.
First-principles (GGA-PBE) data for LiY2Rh after structural relaxation, as listed in Alexandria via LeMat-Bulk.

Unit cell a=6.325 b=6.325 c=6.325 alpha=148.29 beta=135.38 gamma=55.77
Positions (direct):
Li1 0.442 0.442 0.000
Rh1 0.251 0.751 0.500
Y1 0.049 0.049 0.000
Y2 0.758 0.258 0.500

For the formation energy, the calculation gives -0.3103 eV/atom. The space group is Imm2 (44).

7.
First-principles (GGA-PBE) data for Sr3HfSe after structural relaxation, as listed in Alexandria via LeMat-Bulk.

Unit cell a=6.050 b=6.050 c=6.050 alpha=90.00 beta=90.00 gamma=90.00
Positions (direct):
Sr1 0.000 0.500 0.000
Sr2 0.000 0.000 0.500
Sr3 0.500 0.000 0.000
Hf1 0.000 0.000 0.000
Se1 0.500 0.500 0.500

The space group is Pm-3m (221). The distance to the lowest polymorph of the same formula comes out at 760 meV per atom.

no.,DOS at the Fermi energy (states/eV per cell)
1,3.09
2,13.30
3,5.56
4,6.37
5,1.33
6,3.38
7,7.16